[1]
Crystalline Cd2NiOs at its relaxed geometry, computed with PBE.

The structure in extended XYZ format:
```
16
Lattice="3.848 0.000 0.000 0.000 3.848 0.000 0.000 0.000 19.299" Properties=species:S:1:pos:R:3 pbc="T T T"
Cd 0.953 0.962 2.412
Cd 0.962 2.877 7.237
Cd 0.962 2.895 16.886
Cd 0.971 0.962 12.062
Cd 2.877 2.886 12.062
Cd 2.886 0.953 16.886
Cd 2.886 0.971 7.237
Cd 2.895 2.886 2.412
Ni 0.000 0.000 0.000
Ni 0.000 1.924 4.825
Ni 1.924 0.000 14.474
Ni 1.924 1.924 9.649
Os 0.000 0.000 9.649
Os 0.000 1.924 14.474
Os 1.924 0.000 4.825
Os 1.924 1.924 0.000
```

Properties
Its space-group type is I-42d (122). As for the volume: 17.86 Å³ per atom. For the uncorrected energy, the calculation gives -3.8231 eV/atom. For the relative energy among the computed polymorphs, the calculation gives 595 meV/atom.

***

[2]
Crystalline Cd2NiOs at its relaxed geometry, computed with PBE.

The structure in extended XYZ format:
```
8
Lattice="2.960 0.000 0.000 0.000 4.727 0.000 0.000 0.000 9.290" Properties=species:S:1:pos:R:3 pbc="T T T"
Cd 0.000 0.000 2.196
Cd 0.000 0.000 7.094
Cd 1.480 2.364 2.196
Cd 1.480 2.364 7.094
Ni 0.000 2.364 0.000
Ni 1.480 0.000 0.000
Os 0.000 2.364 4.645
Os 1.480 0.000 4.645
```

Properties
Its space-group type is Cmmm (65). As for the volume: 16.25 Å³ per atom. For the uncorrected energy, the calculation gives -4.2302 eV/atom. For the relative energy among the computed polymorphs, the calculation gives 188 meV/atom.

***

[3]
Crystalline CdNiOs2 at its relaxed geometry, computed with PBE.

The structure in extended XYZ format:
```
8
Lattice="3.991 0.000 0.000 0.000 3.991 0.000 0.000 0.000 7.382" Properties=species:S:1:pos:R:3 pbc="T T T"
Cd 0.000 0.000 0.000
Cd 1.995 1.995 3.691
Ni 0.000 1.995 5.536
Ni 1.995 0.000 1.845
Os 0.000 0.000 3.691
Os 0.000 1.995 1.845
Os 1.995 0.000 5.536
Os 1.995 1.995 0.000
```

Properties
Its space-group type is I-4m2 (119). As for the volume: 14.69 Å³ per atom. For the uncorrected energy, the calculation gives -6.7506 eV/atom.

***

[4]
Crystalline Cd2NiOs at its relaxed geometry, computed with PBE.

The structure in extended XYZ format:
```
12
Lattice="2.854 0.000 0.000 -1.427 2.471 0.000 0.000 0.000 27.461" Properties=species:S:1:pos:R:3 pbc="T T T"
Cd 0.000 0.000 6.744
Cd 0.000 0.000 20.717
Cd 0.000 1.647 11.563
Cd 0.000 1.647 25.052
Cd 1.427 0.824 2.409
Cd 1.427 0.824 15.898
Ni 0.000 0.000 13.731
Ni 0.000 1.647 4.577
Ni 1.427 0.824 22.884
Os 0.000 0.000 0.000
Os 0.000 1.647 18.307
Os 1.427 0.824 9.154
```

Properties
Its space-group type is R-3m (166). As for the volume: 16.14 Å³ per atom. For the uncorrected energy, the calculation gives -4.2792 eV/atom. For the relative energy among the computed polymorphs, the calculation gives 139 meV/atom.